Record 1
The following is a PBE calculation of TbHoGa6 after structural relaxation, from the Alexandria database.

abc: 4.592 6.254 6.254
angles: 60.05 90.00 90.00
Fractional coordinates of all 8 atoms:
Tb (0.000, 0.000, 0.000)
Ho (0.500, 0.667, 0.667)
Ga (0.000, 0.039, 0.481)
Ga (0.000, 0.481, 0.039)
Ga (0.000, 0.482, 0.482)
Ga (0.500, 0.187, 0.187)
Ga (0.500, 0.187, 0.627)
Ga (0.500, 0.627, 0.187)

Calculated values
Its total energy is -31.631 eV per cell. As for the spin magnetization: 0.0 μB/f.u.

Record 2
The following is a PBE calculation of Ac3Cd3Pb2 after structural relaxation, from the Alexandria database.

abc: 10.780 10.780 5.814
angles: 99.70 99.70 23.56
Fractional coordinates of all 8 atoms:
Ac (0.000, 0.000, 0.000)
Ac (0.137, 0.137, 0.584)
Ac (0.863, 0.863, 0.416)
Cd (0.374, 0.374, 0.930)
Cd (0.500, 0.500, 0.500)
Cd (0.626, 0.626, 0.070)
Pb (0.239, 0.239, 0.184)
Pb (0.761, 0.761, 0.816)

Calculated values
As for the spin magnetization: 0.0 μB/f.u. Its energy above the most stable polymorph in this dataset is 106 meV/atom.

Record 3
The following is a PBE calculation of Mg2PbCl after structural relaxation, from the Alexandria database.

abc: 8.393 8.393 8.393
angles: 26.29 26.29 26.29
Fractional coordinates of all 4 atoms:
Mg (0.246, 0.246, 0.246)
Mg (0.754, 0.754, 0.754)
Pb (0.000, 0.000, 0.000)
Cl (0.500, 0.500, 0.500)

Calculated values
As for the spin magnetization: 0.0 μB/f.u. Its energy above the most stable polymorph in this dataset is 107 meV/atom. Its uncorrected formation energy is -0.45 eV/atom.

Record 4
The following is a PBE calculation of YScBe2 after structural relaxation, from the Alexandria database.

abc: 5.980 5.980 5.980
angles: 106.24 106.24 116.15
Fractional coordinates of all 8 atoms:
Y (0.000, 0.000, 0.000)
Y (0.750, 0.250, 0.500)
Sc (0.250, 0.750, 0.500)
Sc (0.500, 0.500, 0.000)
Be (0.145, 0.625, 0.020)
Be (0.375, 0.395, 0.520)
Be (0.605, 0.125, 0.980)
Be (0.875, 0.855, 0.480)

Calculated values
As for the spin magnetization: 0.0 μB/f.u. Its energy above the most stable polymorph in this dataset is 559 meV/atom.

Record 5
The following is a PBE calculation of La2MgAl after structural relaxation, from the Alexandria database.

abc: 10.542 10.542 10.542
angles: 20.44 20.44 20.44
Fractional coordinates of all 4 atoms:
La (0.242, 0.242, 0.242)
La (0.758, 0.758, 0.758)
Mg (0.000, 0.000, 0.000)
Al (0.500, 0.500, 0.500)

Calculated values
Its total energy is -15.244 eV per cell. As for the spin magnetization: 0.0 μB/f.u.

Record 6
The following is a PBE calculation of Tc3RuN after structural relaxation, from the Alexandria database.

abc: 4.022 4.022 4.022
angles: 90.00 90.00 90.00
Fractional coordinates of all 5 atoms:
Tc (0.000, 0.000, 0.500)
Tc (0.000, 0.500, 0.000)
Tc (0.500, 0.000, 0.000)
Ru (0.500, 0.500, 0.500)
N (0.000, 0.000, 0.000)

Calculated values
As for the spin magnetization: 0.0 μB/f.u. Its energy above the most stable polymorph in this dataset is 0 meV/atom. Its uncorrected formation energy is 0.08 eV/atom.